## one
Crystalline CaBi2Pd6 at its relaxed geometry, computed with GGA-PBE.

Geometry as POSCAR:
```
CaBi2Pd6
1.0
-2.309 2.845 7.118
2.309 -2.845 7.118
2.309 2.845 -7.118
Ca Bi Pd
1 2 6
direct
0.000 0.000 0.000
0.362 0.862 0.500
0.638 0.138 0.500
0.056 0.310 0.746
0.268 0.500 0.768
0.436 0.690 0.746
0.564 0.310 0.254
0.732 0.500 0.232
0.944 0.690 0.254
```

- Crystal system: orthorhombic
- Volume: 187 Å³ per cell
- SG: Immm, No. 71

---

## two
Crystalline CaBi2Pd6 at its relaxed geometry, computed with GGA-PBE.

Geometry as POSCAR:
```
CaBi2Pd6
1.0
4.727 0.000 0.000
-2.364 4.094 0.000
0.000 0.000 8.910
Ca Bi Pd
1 2 6
direct
0.000 0.000 0.000
0.333 0.667 0.231
0.667 0.333 0.769
0.000 0.000 0.340
0.000 0.000 0.660
0.333 0.667 0.534
0.333 0.667 0.843
0.667 0.333 0.157
0.667 0.333 0.466
```

- Crystal system: trigonal
- Volume: 172 Å³ per cell
- SG: P-3m1, No. 164

---

Going by the computed energies, the most stable comes first: two, one.

---

## one
Crystalline Ca3BiPd at its relaxed geometry, computed with GGA-PBE.

Geometry as POSCAR:
```
Ca3BiPd
1.0
5.638 0.000 0.000
-0.224 7.327 0.000
-0.948 -0.064 7.491
Ca Bi Pd
6 2 2
direct
0.000 0.000 0.000
0.016 0.656 0.364
0.452 0.836 0.696
0.514 0.333 0.120
0.875 0.121 0.497
0.967 0.512 0.854
0.413 0.339 0.647
0.510 0.796 0.138
0.029 0.319 0.200
0.334 0.047 0.370
```

- Crystal system: triclinic
- Volume: 309 Å³ per cell
- SG: P1, No. 1

---

## two
Crystalline Ca3BiPd at its relaxed geometry, computed with GGA-PBE.

Geometry as POSCAR:
```
Ca3BiPd
1.0
5.483 0.000 0.000
0.000 5.483 0.000
0.000 0.000 5.483
Ca Bi Pd
3 1 1
direct
0.000 0.000 0.500
0.000 0.500 0.000
0.500 0.000 0.000
0.500 0.500 0.500
0.000 0.000 0.000
```

- Crystal system: cubic
- Volume: 165 Å³ per cell
- SG: Pm-3m, No. 221

---

Going by the computed energies, the most stable comes first: one, two.